Record 1
# BeAgMo2 | the Alexandria database | GGA-PBE | optimized geometry
data_BeAgMo2
_cell_length_a 2.7518
_cell_length_b 2.7518
_cell_length_c 27.2240
_cell_angle_alpha 90.00
_cell_angle_beta 90.00
_cell_angle_gamma 120.00
_symmetry_space_group_name_H-M 'R -3 m'
_symmetry_Int_Tables_number 166
_symmetry_space_group_name_Hall '-R 3 2"'
loop_
_atom_site_label
_atom_site_type_symbol
_atom_site_fract_x
_atom_site_fract_y
_atom_site_fract_z
Be1 Be 0.0000 0.0000 0.0000
Ag1 Ag 0.0000 0.0000 0.5000
Mo1 Mo 0.0000 0.0000 0.2580
# Spin magnetization, μB/cell: 0.00
# Uncorrected energy, eV per atom: -6.58


Record 2
# CsLiC2O | the Alexandria database | GGA-PBE | optimized geometry
data_CsLiC2O
_cell_length_a 5.126
_cell_length_b 5.126
_cell_length_c 4.564
_cell_angle_alpha 90.00
_cell_angle_beta 90.00
_cell_angle_gamma 90.00
_symmetry_space_group_name_H-M 'P 4/m m m'
_symmetry_Int_Tables_number 123
_symmetry_space_group_name_Hall '-P 4 2'
loop_
_atom_site_label
_atom_site_type_symbol
_atom_site_fract_x
_atom_site_fract_y
_atom_site_fract_z
Cs1 Cs 0.000 0.000 0.000
Li1 Li 0.500 0.500 0.500
C1 C 0.000 0.500 0.000
O1 O 0.000 0.000 0.500
# Spin magnetization, μB/cell: 4.19
# Raw formation energy, meV per atom: 2600


Record 3
# PmEr3Ag2 | the Alexandria database | GGA-PBE | optimized geometry
data_PmEr3Ag2
_cell_length_a 3.603
_cell_length_b 3.603
_cell_length_c 12.284
_cell_angle_alpha 90.00
_cell_angle_beta 90.00
_cell_angle_gamma 90.00
_symmetry_space_group_name_H-M 'P 4/m m m'
_symmetry_Int_Tables_number 123
_symmetry_space_group_name_Hall '-P 4 2'
loop_
_atom_site_label
_atom_site_type_symbol
_atom_site_fract_x
_atom_site_fract_y
_atom_site_fract_z
Pm1 Pm 0.000 0.000 0.000
Er1 Er 0.500 0.500 0.207
Er2 Er 0.500 0.500 0.500
Ag1 Ag 0.000 0.000 0.352
# Spin magnetization, μB/cell: 0.00
# Uncorrected energy, eV per atom: -4.23


Record 4
# La3Ga2Ni2 | the Alexandria database | GGA-PBE | optimized geometry
data_La3Ga2Ni2
_cell_length_a 5.759
_cell_length_b 8.338
_cell_length_c 13.192
_cell_angle_alpha 90.00
_cell_angle_beta 90.00
_cell_angle_gamma 90.00
_symmetry_space_group_name_H-M 'P b c m'
_symmetry_Int_Tables_number 57
loop_
_symmetry_equiv_pos_as_xyz
'x,y,z'
'-x,-y,-z'
'-x,-y,z+1/2'
'x,y,-z+1/2'
'x,-y+1/2,-z'
'-x,y+1/2,z'
'-x,y+1/2,-z+1/2'
'x,-y+1/2,z+1/2'
loop_
_atom_site_label
_atom_site_type_symbol
_atom_site_fract_x
_atom_site_fract_y
_atom_site_fract_z
La1 La 0.160 0.101 0.096
La2 La 0.333 0.749 0.250
Ga1 Ga 0.176 0.104 0.750
Ga2 Ga 0.353 0.750 0.000
Ni1 Ni 0.390 0.035 0.588
# Spin magnetization, μB/cell: 0.00
# Uncorrected energy, eV per atom: -5.15


Record 5
# Sr2Ga5Pt | the Alexandria database | GGA-PBE | optimized geometry
data_Sr2Ga5Pt
_cell_length_a 4.447
_cell_length_b 17.326
_cell_length_c 9.290
_cell_angle_alpha 90.00
_cell_angle_beta 90.00
_cell_angle_gamma 90.00
_symmetry_space_group_name_H-M 'C m c m'
_symmetry_Int_Tables_number 63
_symmetry_space_group_name_Hall '-C 2c 2'
loop_
_atom_site_label
_atom_site_type_symbol
_atom_site_fract_x
_atom_site_fract_y
_atom_site_fract_z
Sr1 Sr 0.000 0.000 0.000
Sr2 Sr 0.000 0.199 0.250
Ga1 Ga 0.000 0.187 0.609
Ga2 Ga 0.000 0.356 0.523
Ga3 Ga 0.000 0.416 0.250
Pt1 Pt 0.000 0.439 0.750
# Energy above the most stable polymorph in this dataset, meV per atom: 0.0
# Spin magnetization, μB/cell: 0.00


Record 6
# Zr2PbSe | the Alexandria database | GGA-PBE | optimized geometry
data_Zr2PbSe
_cell_length_a 3.507
_cell_length_b 3.891
_cell_length_c 13.700
_cell_angle_alpha 90.00
_cell_angle_beta 90.00
_cell_angle_gamma 90.00
_symmetry_space_group_name_H-M 'I m m 2'
_symmetry_Int_Tables_number 44
loop_
_symmetry_equiv_pos_as_xyz
'x,y,z'
'-x,-y,z'
'-x,y,z'
'x,-y,z'
'x+1/2,y+1/2,z+1/2'
'-x+1/2,-y+1/2,z+1/2'
'-x+1/2,y+1/2,z+1/2'
'x+1/2,-y+1/2,z+1/2'
loop_
_atom_site_label
_atom_site_type_symbol
_atom_site_fract_x
_atom_site_fract_y
_atom_site_fract_z
Zr1 Zr 0.000 0.000 0.000
Zr2 Zr 0.000 0.500 0.223
Pb1 Pb 0.000 0.500 0.835
Se1 Se 0.000 0.000 0.572
# Energy above the most stable polymorph in this dataset, meV per atom: 37.7
# Spin magnetization, μB/cell: 0.00
# Raw formation energy, meV per atom: -586


Record 7
# Cd2BiPb2 | the Alexandria database | GGA-PBE | optimized geometry
data_Cd2BiPb2
_cell_length_a 7.999
_cell_length_b 7.999
_cell_length_c 4.616
_cell_angle_alpha 90.00
_cell_angle_beta 90.00
_cell_angle_gamma 90.00
_symmetry_space_group_name_H-M 'P 4/m b m'
_symmetry_Int_Tables_number 127
_symmetry_space_group_name_Hall '-P 4 2ab'
loop_
_atom_site_label
_atom_site_type_symbol
_atom_site_fract_x
_atom_site_fract_y
_atom_site_fract_z
Cd1 Cd 0.129 0.371 0.000
Bi1 Bi 0.000 0.000 0.000
Pb1 Pb 0.173 0.673 0.500
# Energy above the most stable polymorph in this dataset, meV per atom: 0.0
# Spin magnetization, μB/cell: 0.00


Record 8
# GdPaMn | the Alexandria database | GGA-PBE | optimized geometry
data_GdPaMn
_cell_length_a 3.369
_cell_length_b 3.369
_cell_length_c 11.344
_cell_angle_alpha 90.00
_cell_angle_beta 90.00
_cell_angle_gamma 90.00
_symmetry_space_group_name_H-M 'I 4 m m'
_symmetry_Int_Tables_number 107
_symmetry_space_group_name_Hall 'I 4 -2'
loop_
_atom_site_label
_atom_site_type_symbol
_atom_site_fract_x
_atom_site_fract_y
_atom_site_fract_z
Gd1 Gd 0.000 0.000 0.000
Pa1 Pa 0.000 0.000 0.293
Mn1 Mn 0.000 0.000 0.693
# Energy above the most stable polymorph in this dataset, meV per atom: 9.6
# Spin magnetization, μB/cell: 14.15


Record 9
# Mn2TlSi | the Alexandria database | GGA-PBE | optimized geometry
data_Mn2TlSi
_cell_length_a 3.155
_cell_length_b 3.155
_cell_length_c 6.837
_cell_angle_alpha 90.00
_cell_angle_beta 90.00
_cell_angle_gamma 90.00
_symmetry_space_group_name_H-M 'P 4 m m'
_symmetry_Int_Tables_number 99
loop_
_symmetry_equiv_pos_as_xyz
'x,y,z'
'-y,x,z'
'-x,-y,z'
'y,-x,z'
'-x,y,z'
'y,x,z'
'x,-y,z'
'-y,-x,z'
loop_
_atom_site_label
_atom_site_type_symbol
_atom_site_fract_x
_atom_site_fract_y
_atom_site_fract_z
Mn1 Mn 0.000 0.000 0.000
Mn2 Mn 0.500 0.500 0.239
Tl1 Tl 0.500 0.500 0.706
Si1 Si 0.000 0.000 0.362
# Spin magnetization, μB/cell: 5.80
# Raw formation energy, meV per atom: 310


Record 10
# FeRuW2 | the Alexandria database | GGA-PBE | optimized geometry
data_FeRuW2
_cell_length_a 2.7560
_cell_length_b 2.7560
_cell_length_c 26.5547
_cell_angle_alpha 90.00
_cell_angle_beta 90.00
_cell_angle_gamma 120.00
_symmetry_space_group_name_H-M 'R -3 m'
_symmetry_Int_Tables_number 166
_symmetry_space_group_name_Hall '-R 3 2"'
loop_
_atom_site_label
_atom_site_type_symbol
_atom_site_fract_x
_atom_site_fract_y
_atom_site_fract_z
Fe1 Fe 0.0000 0.0000 0.0000
Ru1 Ru 0.0000 0.0000 0.5000
W1 W 0.0000 0.0000 0.2526
# Energy above the most stable polymorph in this dataset, meV per atom: 162.5
# Spin magnetization, μB/cell: 4.28


Record 11
# Fe2H2Cl7 | the Alexandria database | GGA-PBE | optimized geometry
data_Fe2H2Cl7
_cell_length_a 9.747
_cell_length_b 11.563
_cell_length_c 6.547
_cell_angle_alpha 90.00
_cell_angle_beta 115.36
_cell_angle_gamma 90.00
_symmetry_space_group_name_H-M 'C 1 2/m 1'
_symmetry_Int_Tables_number 12
loop_
_symmetry_equiv_pos_as_xyz
'x,y,z'
'-x,-y,-z'
'-x,y,-z'
'x,-y,z'
'x+1/2,y+1/2,z'
'-x+1/2,-y+1/2,-z'
'-x+1/2,y+1/2,-z'
'x+1/2,-y+1/2,z'
loop_
_atom_site_label
_atom_site_type_symbol
_atom_site_fract_x
_atom_site_fract_y
_atom_site_fract_z
Fe1 Fe 0.246 0.000 0.429
H1 H 0.000 0.149 0.000
Cl1 Cl 0.000 0.500 0.500
Cl2 Cl 0.151 0.163 0.218
Cl3 Cl 0.215 0.000 0.735
# Spin magnetization, μB/cell: 18.00
# Uncorrected energy, eV per atom: -3.93


Record 12
# ScReAg2Te | the Alexandria database | GGA-PBE | optimized geometry
data_ScReAg2Te
_cell_length_a 5.085
_cell_length_b 5.085
_cell_length_c 5.382
_cell_angle_alpha 90.00
_cell_angle_beta 90.00
_cell_angle_gamma 90.00
_symmetry_space_group_name_H-M 'P 4/m m m'
_symmetry_Int_Tables_number 123
_symmetry_space_group_name_Hall '-P 4 2'
loop_
_atom_site_label
_atom_site_type_symbol
_atom_site_fract_x
_atom_site_fract_y
_atom_site_fract_z
Sc1 Sc 0.000 0.000 0.000
Re1 Re 0.500 0.500 0.000
Ag1 Ag 0.000 0.500 0.500
Te1 Te 0.000 0.000 0.500
# Spin magnetization, μB/cell: 3.04
# Raw formation energy, meV per atom: 1341


Record 13
# DySiPt | the Alexandria database | GGA-PBE | optimized geometry
data_DySiPt
_cell_length_a 4.2983
_cell_length_b 4.2983
_cell_length_c 3.6271
_cell_angle_alpha 90.00
_cell_angle_beta 90.00
_cell_angle_gamma 120.00
_symmetry_space_group_name_H-M 'P -6 m 2'
_symmetry_Int_Tables_number 187
_symmetry_space_group_name_Hall 'P -6 2'
loop_
_atom_site_label
_atom_site_type_symbol
_atom_site_fract_x
_atom_site_fract_y
_atom_site_fract_z
Dy1 Dy 0.0000 0.0000 0.0000
Si1 Si 0.3333 0.6667 0.5000
Pt1 Pt 0.6667 0.3333 0.5000
# Spin magnetization, μB/cell: 0.00
# Raw formation energy, meV per atom: -1150


Record 14
# Na3MnTe | the Alexandria database | GGA-PBE | optimized geometry
data_Na3MnTe
_cell_length_a 5.897
_cell_length_b 5.897
_cell_length_c 5.897
_cell_angle_alpha 90.00
_cell_angle_beta 90.00
_cell_angle_gamma 90.00
_symmetry_space_group_name_H-M 'P m -3 m'
_symmetry_Int_Tables_number 221
_symmetry_space_group_name_Hall '-P 4 2 3'
loop_
_atom_site_label
_atom_site_type_symbol
_atom_site_fract_x
_atom_site_fract_y
_atom_site_fract_z
Na1 Na 0.000 0.000 0.500
Mn1 Mn 0.500 0.500 0.500
Te1 Te 0.000 0.000 0.000
# Energy above the most stable polymorph in this dataset, meV per atom: 0.0
# Spin magnetization, μB/cell: 4.32
# Raw formation energy, meV per atom: 178


Record 15
# Ba3EuZn | the Alexandria database | GGA-PBE | optimized geometry
data_Ba3EuZn
_cell_length_a 6.540
_cell_length_b 6.540
_cell_length_c 6.540
_cell_angle_alpha 90.00
_cell_angle_beta 90.00
_cell_angle_gamma 90.00
_symmetry_space_group_name_H-M 'P m -3 m'
_symmetry_Int_Tables_number 221
_symmetry_space_group_name_Hall '-P 4 2 3'
loop_
_atom_site_label
_atom_site_type_symbol
_atom_site_fract_x
_atom_site_fract_y
_atom_site_fract_z
Ba1 Ba 0.000 0.000 0.500
Eu1 Eu 0.500 0.500 0.500
Zn1 Zn 0.000 0.000 0.000
# Spin magnetization, μB/cell: 7.62
# Uncorrected energy, eV per atom: -3.41


Record 16
# Tb2Dy3Cd2 | the Alexandria database | GGA-PBE | optimized geometry
data_Tb2Dy3Cd2
_cell_length_a 5.051
_cell_length_b 22.827
_cell_length_c 3.462
_cell_angle_alpha 90.00
_cell_angle_beta 90.00
_cell_angle_gamma 90.00
_symmetry_space_group_name_H-M 'C m m m'
_symmetry_Int_Tables_number 65
_symmetry_space_group_name_Hall '-C 2 2'
loop_
_atom_site_label
_atom_site_type_symbol
_atom_site_fract_x
_atom_site_fract_y
_atom_site_fract_z
Tb1 Tb 0.000 0.210 0.000
Dy1 Dy 0.000 0.355 0.500
Dy2 Dy 0.000 0.500 0.500
Cd1 Cd 0.000 0.069 0.000
# Energy above the most stable polymorph in this dataset, meV per atom: 110.7
# Spin magnetization, μB/cell: 0.00


Record 17
# Li2Ca2DyIn5 | the Alexandria database | GGA-PBE | optimized geometry
data_Li2Ca2DyIn5
_cell_length_a 10.383
_cell_length_b 10.383
_cell_length_c 4.565
_cell_angle_alpha 90.00
_cell_angle_beta 90.00
_cell_angle_gamma 90.00
_symmetry_space_group_name_H-M 'P 4/m b m'
_symmetry_Int_Tables_number 127
_symmetry_space_group_name_Hall '-P 4 2ab'
loop_
_atom_site_label
_atom_site_type_symbol
_atom_site_fract_x
_atom_site_fract_y
_atom_site_fract_z
Li1 Li 0.117 0.383 0.000
Ca1 Ca 0.178 0.678 0.000
Dy1 Dy 0.000 0.000 0.000
In1 In 0.000 0.500 0.500
In2 In 0.066 0.210 0.500
# Spin magnetization, μB/cell: 0.00
# Uncorrected energy, eV per atom: -3.00


Record 18
# Al3HgAs | the Alexandria database | GGA-PBE | optimized geometry
data_Al3HgAs
_cell_length_a 4.967
_cell_length_b 4.967
_cell_length_c 4.967
_cell_angle_alpha 90.00
_cell_angle_beta 90.00
_cell_angle_gamma 90.00
_symmetry_space_group_name_H-M 'P m -3 m'
_symmetry_Int_Tables_number 221
_symmetry_space_group_name_Hall '-P 4 2 3'
loop_
_atom_site_label
_atom_site_type_symbol
_atom_site_fract_x
_atom_site_fract_y
_atom_site_fract_z
Al1 Al 0.000 0.000 0.500
Hg1 Hg 0.500 0.500 0.500
As1 As 0.000 0.000 0.000
# Energy above the most stable polymorph in this dataset, meV per atom: 0.0
# Spin magnetization, μB/cell: 0.00


Record 19
# Sm2MnTc3 | the Alexandria database | GGA-PBE | optimized geometry
data_Sm2MnTc3
_cell_length_a 9.195
_cell_length_b 5.320
_cell_length_c 5.575
_cell_angle_alpha 90.00
_cell_angle_beta 123.34
_cell_angle_gamma 90.00
_symmetry_space_group_name_H-M 'C 1 2/m 1'
_symmetry_Int_Tables_number 12
loop_
_symmetry_equiv_pos_as_xyz
'x,y,z'
'-x,-y,-z'
'-x,y,-z'
'x,-y,z'
'x+1/2,y+1/2,z'
'-x+1/2,-y+1/2,-z'
'-x+1/2,y+1/2,-z'
'x+1/2,-y+1/2,z'
loop_
_atom_site_label
_atom_site_type_symbol
_atom_site_fract_x
_atom_site_fract_y
_atom_site_fract_z
Sm1 Sm 0.123 0.000 0.368
Mn1 Mn 0.000 0.500 0.500
Tc1 Tc 0.000 0.500 0.000
Tc2 Tc 0.250 0.250 0.000
# Spin magnetization, μB/cell: 6.38
# Uncorrected energy, eV per atom: -8.33


Record 20
# La3In4Pd4 | the Alexandria database | GGA-PBE | optimized geometry
data_La3In4Pd4
_cell_length_a 4.352
_cell_length_b 7.958
_cell_length_c 15.066
_cell_angle_alpha 90.00
_cell_angle_beta 90.00
_cell_angle_gamma 90.00
_symmetry_space_group_name_H-M 'I m m m'
_symmetry_Int_Tables_number 71
_symmetry_space_group_name_Hall '-I 2 2'
loop_
_atom_site_label
_atom_site_type_symbol
_atom_site_fract_x
_atom_site_fract_y
_atom_site_fract_z
La1 La 0.000 0.000 0.000
La2 La 0.000 0.500 0.119
In1 In 0.000 0.303 0.326
Pd1 Pd 0.000 0.000 0.222
Pd2 Pd 0.000 0.194 0.500
# Spin magnetization, μB/cell: 0.00
# Uncorrected energy, eV per atom: -4.98